(1)
## KBaSbSe3 (SCAN)

Data for a PBEsol-optimized structure of KBaSbSe3.

Calculated values
DOS(E_F): 0.0000 states/eV per atom
VASP energy: -612.61 eV/cell

abc: 9.312 9.078 9.370
angles: 90.00 108.79 90.00
Positions (direct):
K 0.087 0.082 0.213
K 0.087 0.418 0.713
K 0.913 0.582 0.287
K 0.913 0.918 0.787
Ba 0.413 0.715 0.462
Ba 0.413 0.785 0.962
Ba 0.587 0.215 0.038
Ba 0.587 0.285 0.538
Sb 0.248 0.059 0.624
Sb 0.248 0.441 0.124
Sb 0.752 0.559 0.876
Sb 0.752 0.941 0.376
Se 0.128 0.700 0.082
Se 0.128 0.800 0.582
Se 0.230 0.108 0.887
Se 0.230 0.392 0.387
Se 0.463 0.017 0.275
Se 0.463 0.483 0.775
Se 0.537 0.517 0.225
Se 0.537 0.983 0.725
Se 0.770 0.608 0.613
Se 0.770 0.892 0.113
Se 0.872 0.200 0.418
Se 0.872 0.300 0.918

***

(2)
## K2BaScW (SCAN)

Data for a PBEsol-optimized structure of K2BaScW.

Calculated values
DOS(E_F): 1.0882 states/eV per atom
VASP energy: -133.77 eV/cell
Formation energy: 1272.5 meV/atom

abc: 6.411 6.411 4.979
angles: 90.00 90.00 90.00
Positions (direct):
K 0.000 0.500 0.000
K 0.500 0.000 0.000
Ba 0.000 0.000 0.500
Sc 0.500 0.500 0.500
W 0.500 0.500 0.000

***

Q: Which formula does entry 1 have?
A: KBaSbSe3